# PmNiAs PBE relaxed
data_PmNiAs
_cell_length_a 6.619
_cell_length_b 6.619
_cell_length_c 6.619
_cell_angle_alpha 90.00
_cell_angle_beta 90.00
_cell_angle_gamma 90.00
_space_group_name_H-M_alt 'F -4 3 m'
_space_group_IT_number 216
_space_group_name_Hall 'F -4 2 3'
loop_
_atom_site_label
_atom_site_fract_x
_atom_site_fract_y
_atom_site_fract_z
Pm1 0.000 0.000 0.000
Ni1 0.250 0.250 0.250
As1 0.250 0.250 0.750
# - Polymorph energy (0 for the lowest one): 2.881 eV/f.u.
# - Crystal system: cubic
# - Volume: 290.0 Å³/cell


# NdUH2Cl4 PBE relaxed
data_NdUH2Cl4
_cell_length_a 3.8514
_cell_length_b 3.8514
_cell_length_c 13.4157
_cell_angle_alpha 90.00
_cell_angle_beta 90.00
_cell_angle_gamma 120.00
_space_group_name_H-M_alt 'P -6 m 2'
_space_group_IT_number 187
_space_group_name_Hall 'P -6 2'
loop_
_atom_site_label
_atom_site_fract_x
_atom_site_fract_y
_atom_site_fract_z
Nd1 0.0000 0.0000 0.0000
U1 0.0000 0.0000 0.5000
H1 0.3333 0.6667 0.5000
H2 0.6667 0.3333 0.0000
Cl1 0.3333 0.6667 0.1344
Cl2 0.6667 0.3333 0.3660
# - Calculated total energy: -5.2679 eV/atom
# - Crystal system: hexagonal
# - Volume: 172.3 Å³/cell


# Hf2MgAs PBE relaxed
data_Hf2MgAs
_cell_length_a 6.835
_cell_length_b 6.835
_cell_length_c 6.835
_cell_angle_alpha 90.00
_cell_angle_beta 90.00
_cell_angle_gamma 90.00
_space_group_name_H-M_alt 'F -4 3 m'
_space_group_IT_number 216
_space_group_name_Hall 'F -4 2 3'
loop_
_atom_site_label
_atom_site_fract_x
_atom_site_fract_y
_atom_site_fract_z
Hf1 0.000 0.000 0.000
Hf2 0.250 0.250 0.250
Mg1 0.250 0.250 0.750
As1 0.000 0.000 0.500
# - Calculated total energy: -6.2656 eV/atom
# - Crystal system: cubic
# - Volume: 319.4 Å³/cell


# PrAgPbS3 PBE relaxed
data_PrAgPbS3
_cell_length_a 11.552
_cell_length_b 4.273
_cell_length_c 11.735
_cell_angle_alpha 90.00
_cell_angle_beta 90.00
_cell_angle_gamma 90.00
_space_group_name_H-M_alt 'P n m a'
_space_group_IT_number 62
loop_
_space_group_symop_operation_xyz
'x,y,z'
'-x,-y,-z'
'-x+1/2,-y,z+1/2'
'x+1/2,y,-z+1/2'
'x+1/2,-y+1/2,-z+1/2'
'-x+1/2,y+1/2,z+1/2'
'-x,y+1/2,-z'
'x,-y+1/2,z'
loop_
_atom_site_label
_atom_site_fract_x
_atom_site_fract_y
_atom_site_fract_z
Pr1 0.016 0.250 0.178
Ag1 0.247 0.750 0.297
Pb1 0.168 0.250 0.512
S1 0.037 0.750 0.358
S2 0.093 0.250 0.939
S3 0.228 0.750 0.676
# - Polymorph energy (0 for the lowest one): 0.074 eV/f.u.
# - Crystal system: orthorhombic
# - Volume: 579.2 Å³/cell